! Cu2PtAu (PBE, optimized geometry); values from VASP
! D(E_F), states/eV per atom: 0.337
! Energy, eV/f.u.: -18.0
! M_tot, μB/f.u.: 0.000
&SYSTEM
  ibrav = 0, nat = 4, ntyp = 3
/
ATOMIC_SPECIES
Cu 63.55 Cu.upf
Pt 195.08 Pt.upf
Au 196.97 Au.upf
CELL_PARAMETERS angstrom
-2.004 2.866 -0.511
-2.328 -1.660 -0.182
-3.108 -1.201 5.451
ATOMIC_POSITIONS angstrom
Cu -2.337 -1.655 -0.119
Cu -2.710 -1.436 2.572
Pt -2.361 0.718 1.062
Au -5.079 -0.713 3.696

=====

! Cu4PtAu2 (PBE, optimized geometry); values from VASP
! Energy relative to the lowest polymorph listed for this composition, meV per atom: 30
! D(E_F), states/eV per atom: 0.248
! Energy, eV/f.u.: -29.1
! M_tot, μB/f.u.: 0.000
&SYSTEM
  ibrav = 0, nat = 7, ntyp = 3
/
ATOMIC_SPECIES
Au 196.97 Au.upf
Cu 63.55 Cu.upf
Pt 195.08 Pt.upf
CELL_PARAMETERS angstrom
-0.058 -4.618 -3.023
1.184 -2.970 4.499
-4.095 3.400 -0.067
ATOMIC_POSITIONS angstrom
Au -2.047 -2.532 -1.127
Au -1.425 -1.712 2.635
Cu -0.002 -4.235 -1.096
Cu 0.593 -5.720 1.156
Cu 0.623 -3.411 2.664
Cu 0.029 -1.925 0.418
Pt -1.455 -4.020 1.121

=====

! Cu4Pt2Au5 (PBE, optimized geometry); values from VASP
! Energy relative to the lowest polymorph listed for this composition, meV per atom: 140
! D(E_F), states/eV per atom: 0.481
! Energy, eV/f.u.: -43.4
! M_tot, μB/f.u.: 0.000
&SYSTEM
  ibrav = 0, nat = 11, ntyp = 3
/
ATOMIC_SPECIES
Pt 195.08 Pt.upf
Cu 63.55 Cu.upf
Au 196.97 Au.upf
CELL_PARAMETERS angstrom
2.777 0.000 0.000
0.000 7.159 0.000
-1.389 -3.579 8.975
ATOMIC_POSITIONS angstrom
Pt 1.389 3.579 4.045
Pt 0.000 0.000 4.931
Cu 1.389 3.579 1.514
Cu 0.000 0.000 7.461
Cu 0.000 2.222 0.000
Cu 0.000 4.937 0.000
Au 1.389 0.000 0.000
Au 1.389 -2.115 6.387
Au 0.000 1.465 2.588
Au 0.000 5.694 2.588
Au 1.389 2.115 6.387

=====

! CuPt2Au (PBE, optimized geometry); values from VASP
! Energy relative to the lowest polymorph listed for this composition, meV per atom: 97
! D(E_F), states/eV per atom: 1.276
! Energy, eV/f.u.: -19.5
! M_tot, μB/f.u.: 0.000
&SYSTEM
  ibrav = 0, nat = 4, ntyp = 3
/
ATOMIC_SPECIES
Cu 63.55 Cu.upf
Au 196.97 Au.upf
Pt 195.08 Pt.upf
CELL_PARAMETERS angstrom
4.770 -0.050 0.000
1.418 4.554 0.000
-3.094 -2.252 2.848
ATOMIC_POSITIONS angstrom
Cu 2.385 -0.025 1.424
Au 3.094 2.252 0.000
Pt 0.000 0.000 0.000
Pt 0.709 2.277 1.424

=====

! Cu2PtAu (PBE, optimized geometry); values from VASP
! D(E_F), states/eV per atom: 0.458
! Energy, eV/f.u.: -17.7
! M_tot, μB/f.u.: 0.000
&SYSTEM
  ibrav = 0, nat = 4, ntyp = 3
/
ATOMIC_SPECIES
Cu 63.55 Cu.upf
Pt 195.08 Pt.upf
Au 196.97 Au.upf
CELL_PARAMETERS angstrom
-1.756 -3.554 -1.405
2.427 -1.273 0.186
0.152 -1.983 4.825
ATOMIC_POSITIONS angstrom
Cu -0.711 -2.366 0.578
Cu 0.622 -2.217 4.829
Pt 1.176 -1.490 2.298
Au 1.177 -4.348 3.233

=====

! CuPt2Au (PBE, optimized geometry); values from VASP
! Energy relative to the lowest polymorph listed for this composition, meV per atom: 95
! D(E_F), states/eV per atom: 1.155
! Energy, eV/f.u.: -19.5
! M_tot, μB/f.u.: 0.000
&SYSTEM
  ibrav = 0, nat = 4, ntyp = 3
/
ATOMIC_SPECIES
Pt 195.08 Pt.upf
Cu 63.55 Cu.upf
Au 196.97 Au.upf
CELL_PARAMETERS angstrom
-2.047 2.486 -3.571
-3.986 0.652 -2.610
-2.125 3.566 2.517
ATOMIC_POSITIONS angstrom
Pt -6.129 5.072 -2.688
Pt -8.126 6.680 -3.647
Cu -2.063 1.691 -0.936
Au -4.074 3.318 -1.887

=====

- The lowest D(E_F) belongs to which entry?
  Cu4PtAu2

=====

- Which formula does entry 4 have?
  CuPt2Au

=====

- Which formula does entry 1 have?
  Cu2PtAu

=====

- Which value of D(E_F) does entry 2 give?
  0.248 states/eV per atom